# Tb2DyTh3S6 PBE optimized geometry
# V = 22.3 Å³/atom
# Formation energy from raw total energies = -1.910 eV per atom
data_Tb2DyTh3S6
_cell_length_a 6.802
_cell_length_b 11.693
_cell_length_c 7.093
_cell_angle_alpha 90.00
_cell_angle_beta 108.35
_cell_angle_gamma 90.00
_space_group_name_H-M_alt 'C 1 2/m 1'
_space_group_IT_number 12
_space_group_name_Hall '-C 2y'
loop_
_atom_site_label
_atom_site_fract_x
_atom_site_fract_y
_atom_site_fract_z
Tb1 0.000 0.167 0.000
Dy1 0.000 0.500 0.000
Th1 0.000 0.000 0.500
Th2 0.000 0.333 0.500
S1 0.244 0.334 0.234
S2 0.246 0.000 0.235



# Tb3Dy2ThS6 PBE optimized geometry
# V = 21.7 Å³/atom
# Formation energy from raw total energies = -1.965 eV per atom
data_Tb3Dy2ThS6
_cell_length_a 17.158
_cell_length_b 3.937
_cell_length_c 7.901
_cell_angle_alpha 90.00
_cell_angle_beta 103.11
_cell_angle_gamma 90.00
_space_group_name_H-M_alt 'C 1 2/m 1'
_space_group_IT_number 12
_space_group_name_Hall '-C 2y'
loop_
_atom_site_label
_atom_site_fract_x
_atom_site_fract_y
_atom_site_fract_z
Tb1 0.000 0.000 0.000
Tb2 0.163 0.500 0.334
Dy1 0.165 0.500 0.830
Th1 0.000 0.000 0.500
S1 0.001 0.500 0.760
S2 0.168 0.000 0.082
S3 0.171 0.000 0.587



# TbDy4TlS8 PBE optimized geometry
# V = 28.0 Å³/atom
# Formation energy from raw total energies = -1.818 eV per atom
data_TbDy4TlS8
_cell_length_a 8.2072
_cell_length_b 8.2072
_cell_length_c 20.1868
_cell_angle_alpha 90.00
_cell_angle_beta 90.00
_cell_angle_gamma 120.00
_space_group_name_H-M_alt 'R 3 m'
_space_group_IT_number 160
_space_group_name_Hall 'R 3 -2"'
loop_
_atom_site_label
_atom_site_fract_x
_atom_site_fract_y
_atom_site_fract_z
Tb1 0.0000 0.0000 0.0000
Dy1 0.0000 0.0000 0.6210
Dy2 0.1720 0.3441 0.8278
Tl1 0.0000 0.0000 0.3701
S1 0.0000 0.0000 0.2289
S2 0.0000 0.0000 0.7533
S3 0.0432 0.5216 0.7518
S4 0.1763 0.3526 0.5765



# TbDy2Tl3S6 PBE optimized geometry
# V = 26.5 Å³/atom
# Formation energy from raw total energies = -1.490 eV per atom
data_TbDy2Tl3S6
_cell_length_a 6.993
_cell_length_b 12.113
_cell_length_c 7.873
_cell_angle_alpha 90.00
_cell_angle_beta 107.22
_cell_angle_gamma 90.00
_space_group_name_H-M_alt 'C 1 2/m 1'
_space_group_IT_number 12
_space_group_name_Hall '-C 2y'
loop_
_atom_site_label
_atom_site_fract_x
_atom_site_fract_y
_atom_site_fract_z
Tb1 0.000 0.000 0.000
Dy1 0.000 0.333 0.000
Tl1 0.000 0.167 0.500
Tl2 0.000 0.500 0.500
S1 0.231 0.500 0.198
S2 0.233 0.167 0.198



# TbDyTlS PBE optimized geometry
# V = 25.6 Å³/atom
# Formation energy from raw total energies = -1.148 eV per atom
data_TbDyTlS
_cell_length_a 3.807
_cell_length_b 3.811
_cell_length_c 8.427
_cell_angle_alpha 90.01
_cell_angle_beta 102.99
_cell_angle_gamma 119.95
_space_group_name_H-M_alt 'P 1'
_space_group_IT_number 1
_space_group_name_Hall 'P 1'
loop_
_atom_site_label
_atom_site_fract_x
_atom_site_fract_y
_atom_site_fract_z
Tb1 0.000 0.000 0.000
Dy1 0.404 0.202 0.605
Tl1 0.869 0.435 0.303
S1 0.203 0.601 0.804



# Tb2DyTl3S6 PBE optimized geometry
# V = 26.6 Å³/atom
# Formation energy from raw total energies = -1.489 eV per atom
data_Tb2DyTl3S6
_cell_length_a 7.006
_cell_length_b 12.134
_cell_length_c 7.873
_cell_angle_alpha 90.00
_cell_angle_beta 107.25
_cell_angle_gamma 90.00
_space_group_name_H-M_alt 'C 1 2/m 1'
_space_group_IT_number 12
_space_group_name_Hall '-C 2y'
loop_
_atom_site_label
_atom_site_fract_x
_atom_site_fract_y
_atom_site_fract_z
Tb1 0.000 0.167 0.000
Dy1 0.000 0.500 0.000
Tl1 0.000 0.000 0.500
Tl2 0.000 0.333 0.500
S1 0.232 0.334 0.198
S2 0.234 0.000 0.199



# Tb4DyTmS8 PBE optimized geometry
# V = 26.4 Å³/atom
# Formation energy from raw total energies = -1.932 eV per atom
data_Tb4DyTmS8
_cell_length_a 8.0613
_cell_length_b 8.0613
_cell_length_c 19.6876
_cell_angle_alpha 90.00
_cell_angle_beta 90.00
_cell_angle_gamma 120.00
_space_group_name_H-M_alt 'R 3 m'
_space_group_IT_number 160
_space_group_name_Hall 'R 3 -2"'
loop_
_atom_site_label
_atom_site_fract_x
_atom_site_fract_y
_atom_site_fract_z
Tb1 0.0000 0.0000 0.0000
Tb2 0.0002 0.5001 0.1243
Dy1 0.0000 0.0000 0.2488
Tm1 0.0000 0.0000 0.6242
S1 0.0000 0.0000 0.3808
S2 0.0000 0.0000 0.8674
S3 0.0242 0.5121 0.3751
S4 0.1780 0.3559 0.2070



# TbDy3Tm2S6 PBE optimized geometry
# V = 20.8 Å³/atom
# Formation energy from raw total energies = -1.978 eV per atom
data_TbDy3Tm2S6
_cell_length_a 6.714
_cell_length_b 11.683
_cell_length_c 6.735
_cell_angle_alpha 90.00
_cell_angle_beta 109.47
_cell_angle_gamma 90.00
_space_group_name_H-M_alt 'C 1 2/m 1'
_space_group_IT_number 12
_space_group_name_Hall '-C 2y'
loop_
_atom_site_label
_atom_site_fract_x
_atom_site_fract_y
_atom_site_fract_z
Tb1 0.000 0.000 0.000
Dy1 0.000 0.164 0.500
Dy2 0.000 0.500 0.500
Tm1 0.000 0.334 0.000
S1 0.243 0.500 0.245
S2 0.248 0.331 0.753



# Tb4Dy3TmS8 PBE optimized geometry
# V = 21.1 Å³/atom
# Formation energy from raw total energies = -1.989 eV per atom
data_Tb4Dy3TmS8
_cell_length_a 7.8139
_cell_length_b 7.8139
_cell_length_c 19.1686
_cell_angle_alpha 90.00
_cell_angle_beta 90.00
_cell_angle_gamma 120.00
_space_group_name_H-M_alt 'R -3 m'
_space_group_IT_number 166
_space_group_name_Hall '-R 3 2"'
loop_
_atom_site_label
_atom_site_fract_x
_atom_site_fract_y
_atom_site_fract_z
Tb1 0.0000 0.0000 0.0000
Tb2 0.0000 0.5000 0.0000
Dy1 0.0000 0.5000 0.5000
Tm1 0.0000 0.0000 0.5000
S1 0.0000 0.0000 0.2492
S2 0.0031 0.5015 0.2485



# Tb3Dy3TmS8 PBE optimized geometry
# V = 22.4 Å³/atom
# Formation energy from raw total energies = -2.056 eV per atom
data_Tb3Dy3TmS8
_cell_length_a 7.8054
_cell_length_b 7.8054
_cell_length_c 19.1445
_cell_angle_alpha 90.00
_cell_angle_beta 90.00
_cell_angle_gamma 120.00
_space_group_name_H-M_alt 'R -3 m'
_space_group_IT_number 166
_space_group_name_Hall '-R 3 2"'
loop_
_atom_site_label
_atom_site_fract_x
_atom_site_fract_y
_atom_site_fract_z
Tb1 0.0000 0.5000 0.0000
Dy1 0.0000 0.5000 0.5000
Tm1 0.0000 0.0000 0.5000
S1 0.0000 0.0000 0.2493
S2 0.0023 0.5012 0.2488



# Tb3DyTm2S6 PBE optimized geometry
# V = 20.9 Å³/atom
# Formation energy from raw total energies = -1.985 eV per atom
data_Tb3DyTm2S6
_cell_length_a 6.723
_cell_length_b 11.696
_cell_length_c 6.756
_cell_angle_alpha 90.00
_cell_angle_beta 109.43
_cell_angle_gamma 90.00
_space_group_name_H-M_alt 'C 1 2/m 1'
_space_group_IT_number 12
_space_group_name_Hall '-C 2y'
loop_
_atom_site_label
_atom_site_fract_x
_atom_site_fract_y
_atom_site_fract_z
Tb1 0.000 0.000 0.000
Tb2 0.000 0.335 0.000
Dy1 0.000 0.500 0.500
Tm1 0.000 0.166 0.500
S1 0.244 0.000 0.743
S2 0.250 0.169 0.256



# TbDy3Tm3S8 PBE optimized geometry
# V = 21.9 Å³/atom
# Formation energy from raw total energies = -2.032 eV per atom
data_TbDy3Tm3S8
_cell_length_a 7.7337
_cell_length_b 7.7337
_cell_length_c 18.9835
_cell_angle_alpha 90.00
_cell_angle_beta 90.00
_cell_angle_gamma 120.00
_space_group_name_H-M_alt 'R -3 m'
_space_group_IT_number 166
_space_group_name_Hall '-R 3 2"'
loop_
_atom_site_label
_atom_site_fract_x
_atom_site_fract_y
_atom_site_fract_z
Tb1 0.0000 0.0000 0.0000
Dy1 0.0000 0.5000 0.5000
Tm1 0.0000 0.5000 0.0000
S1 0.0000 0.0000 0.2518
S2 0.0069 0.5035 0.2502



# TbDy2TmS4 PBE optimized geometry
# V = 20.9 Å³/atom
# Formation energy from raw total energies = -1.978 eV per atom
data_TbDy2TmS4
_cell_length_a 6.761
_cell_length_b 3.861
_cell_length_c 6.773
_cell_angle_alpha 90.00
_cell_angle_beta 109.08
_cell_angle_gamma 90.00
_space_group_name_H-M_alt 'P 1 2/m 1'
_space_group_IT_number 10
_space_group_name_Hall '-P 2y'
loop_
_atom_site_label
_atom_site_fract_x
_atom_site_fract_y
_atom_site_fract_z
Tb1 0.000 0.000 0.000
Dy1 0.500 0.000 0.500
Dy2 0.500 0.500 0.000
Tm1 0.000 0.500 0.500
S1 0.246 0.000 0.745
S2 0.249 0.500 0.254



# TbDy2YS4 PBE optimized geometry
# V = 21.2 Å³/atom
# Formation energy from raw total energies = -1.996 eV per atom
data_TbDy2YS4
_cell_length_a 6.793
_cell_length_b 3.884
_cell_length_c 6.802
_cell_angle_alpha 90.00
_cell_angle_beta 109.13
_cell_angle_gamma 90.00
_space_group_name_H-M_alt 'P 1 2/m 1'
_space_group_IT_number 10
_space_group_name_Hall '-P 2y'
loop_
_atom_site_label
_atom_site_fract_x
_atom_site_fract_y
_atom_site_fract_z
Tb1 0.000 0.000 0.000
Dy1 0.500 0.000 0.500
Dy2 0.500 0.500 0.000
Y1 0.000 0.500 0.500
S1 0.251 0.000 0.750
S2 0.252 0.500 0.251



# TbDyY2S6 PBE optimized geometry
# V = 25.7 Å³/atom
# Formation energy from raw total energies = -2.063 eV per atom
data_TbDyY2S6
_cell_length_a 6.9266
_cell_length_b 6.9266
_cell_length_c 18.5426
_cell_angle_alpha 90.00
_cell_angle_beta 90.00
_cell_angle_gamma 120.00
_space_group_name_H-M_alt 'R 3'
_space_group_IT_number 146
_space_group_name_Hall 'R 3'
loop_
_atom_site_label
_atom_site_fract_x
_atom_site_fract_y
_atom_site_fract_z
Tb1 0.0000 0.0000 0.0000
Dy1 0.0000 0.0000 0.4995
Y1 0.0000 0.0000 0.2983
Y2 0.0000 0.0000 0.7987
S1 0.9997 0.6988 0.8989
S2 0.0014 0.3007 0.3991



# Tb3DyY3S8 PBE optimized geometry
# V = 22.6 Å³/atom
# Formation energy from raw total energies = -2.058 eV per atom
data_Tb3DyY3S8
_cell_length_a 7.8291
_cell_length_b 7.8291
_cell_length_c 19.1646
_cell_angle_alpha 90.00
_cell_angle_beta 90.00
_cell_angle_gamma 120.00
_space_group_name_H-M_alt 'R -3 m'
_space_group_IT_number 166
_space_group_name_Hall '-R 3 2"'
loop_
_atom_site_label
_atom_site_fract_x
_atom_site_fract_y
_atom_site_fract_z
Tb1 0.0000 0.5000 0.0000
Dy1 0.0000 0.0000 0.0000
Y1 0.0000 0.5000 0.5000
S1 0.0000 0.0000 0.2497
S2 0.9996 0.4998 0.2498



# Tb3Dy2YS6 PBE optimized geometry
# V = 21.2 Å³/atom
# Formation energy from raw total energies = -2.006 eV per atom
data_Tb3Dy2YS6
_cell_length_a 6.769
_cell_length_b 11.775
_cell_length_c 6.786
_cell_angle_alpha 90.00
_cell_angle_beta 109.47
_cell_angle_gamma 90.00
_space_group_name_H-M_alt 'C 1 2/m 1'
_space_group_IT_number 12
_space_group_name_Hall '-C 2y'
loop_
_atom_site_label
_atom_site_fract_x
_atom_site_fract_y
_atom_site_fract_z
Tb1 0.000 0.000 0.000
Tb2 0.000 0.334 0.000
Dy1 0.000 0.167 0.500
Y1 0.000 0.500 0.500
S1 0.249 0.000 0.748
S2 0.250 0.167 0.252



# TbDyY2S4 PBE optimized geometry
# V = 21.2 Å³/atom
# Formation energy from raw total energies = -1.997 eV per atom
data_TbDyY2S4
_cell_length_a 6.799
_cell_length_b 3.887
_cell_length_c 6.807
_cell_angle_alpha 90.00
_cell_angle_beta 109.12
_cell_angle_gamma 90.00
_space_group_name_H-M_alt 'P 1 2/m 1'
_space_group_IT_number 10
_space_group_name_Hall '-P 2y'
loop_
_atom_site_label
_atom_site_fract_x
_atom_site_fract_y
_atom_site_fract_z
Tb1 0.000 0.000 0.000
Dy1 0.500 0.500 0.000
Y1 0.000 0.500 0.500
Y2 0.500 0.000 0.500
S1 0.251 0.000 0.750
S2 0.251 0.500 0.250



# TbDy3Y3S8 PBE optimized geometry
# V = 22.5 Å³/atom
# Formation energy from raw total energies = -2.052 eV per atom
data_TbDy3Y3S8
_cell_length_a 7.8090
_cell_length_b 7.8090
_cell_length_c 19.1335
_cell_angle_alpha 90.00
_cell_angle_beta 90.00
_cell_angle_gamma 120.00
_space_group_name_H-M_alt 'R -3 m'
_space_group_IT_number 166
_space_group_name_Hall '-R 3 2"'
loop_
_atom_site_label
_atom_site_fract_x
_atom_site_fract_y
_atom_site_fract_z
Tb1 0.0000 0.0000 0.0000
Dy1 0.0000 0.5000 0.0000
Y1 0.0000 0.5000 0.5000
S1 0.0000 0.0000 0.2503
S2 0.0025 0.5013 0.2497



# Tb2DyY3S6 PBE optimized geometry
# V = 21.3 Å³/atom
# Formation energy from raw total energies = -2.004 eV per atom
data_Tb2DyY3S6
_cell_length_a 6.772
_cell_length_b 11.776
_cell_length_c 6.787
_cell_angle_alpha 90.00
_cell_angle_beta 109.46
_cell_angle_gamma 90.00
_space_group_name_H-M_alt 'C 1 2/m 1'
_space_group_IT_number 12
_space_group_name_Hall '-C 2y'
loop_
_atom_site_label
_atom_site_fract_x
_atom_site_fract_y
_atom_site_fract_z
Tb1 0.000 0.167 0.000
Dy1 0.000 0.500 0.000
Y1 0.000 0.000 0.500
Y2 0.000 0.333 0.500
S1 0.249 0.334 0.250
S2 0.249 0.500 0.749